Material: In2BiWO8
Method: DFT, GGA+U
State: relaxed

Computed properties:
Total energy (eV/atom): -6.238

a = 4.940 Å, b = 4.936 Å, c = 6.705 Å
α = 90.00°, β = 90.00°, γ = 91.66°
Atoms (fractional coordinates):
In1 0.500 0.500 0.759
In2 0.500 0.500 0.241
Bi1 0.000 0.000 0.500
W1 0.000 0.000 0.000
O1 0.186 0.813 0.216
O2 0.713 0.714 0.000
O3 0.814 0.187 0.216
O4 0.814 0.187 0.784
O5 0.287 0.286 0.000
O6 0.186 0.813 0.784
O7 0.685 0.686 0.500
O8 0.315 0.314 0.500